ScRe2Au | PBE-GGA | optimized geometry

Geometry as CIF:
```
data_ScRe2Au
_chemical_formula_sum 'Sc1 Re2 Au1'
_symmetry_space_group_name_H-M 'P 1'
_symmetry_Int_Tables_number 1
_symmetry_space_group_name_Hall 'P 1'
_cell_length_a 5.4719
_cell_length_b 5.4719
_cell_length_c 5.4719
_cell_angle_alpha 145.70
_cell_angle_beta 132.59
_cell_angle_gamma 59.81
loop_
_atom_site_label
_atom_site_type_symbol
_atom_site_fract_x
_atom_site_fract_y
_atom_site_fract_z
Au1 Au 0.7500 0.2500 0.5000
Re1 Re 0.9997 0.9997 0.0000
Re2 Re 0.5003 0.5003 0.0000
Sc1 Sc 0.2500 0.7500 0.5000
```

Results
**E above lowest polymorph**: 291 meV/atom
**Calculated density**: 15.149 g/cm³
**Size of the total moment**: 0.00 μB per cell
**Space-group type**: Immm



KOs2Au | PBE-GGA | optimized geometry

Geometry as CIF:
```
data_KOs2Au
_chemical_formula_sum 'K1 Os2 Au1'
_symmetry_space_group_name_H-M 'P 1'
_symmetry_Int_Tables_number 1
_symmetry_space_group_name_Hall 'P 1'
_cell_length_a 10.5062
_cell_length_b 10.5062
_cell_length_c 10.5062
_cell_angle_alpha 15.50
_cell_angle_beta 15.50
_cell_angle_gamma 15.50
loop_
_atom_site_label
_atom_site_type_symbol
_atom_site_fract_x
_atom_site_fract_y
_atom_site_fract_z
Au1 Au 0.5089 0.5089 0.5089
K1 K 0.7495 0.7495 0.7495
Os1 Os 0.9868 0.9868 0.9868
Os2 Os 0.2549 0.2549 0.2549
```

Results
**E above lowest polymorph**: 156 meV/atom
**Calculated density**: 14.181 g/cm³
**Size of the total moment**: 0.00 μB per cell
**Space-group type**: R3m



> The lowest calculated density belongs to which entry?

KOs2Au



> Among the records above, which one has the lowest E above lowest polymorph?

KOs2Au



What did the second record say?
KOs2Au | PBE-GGA | optimized geometry

Geometry as CIF:
```
data_KOs2Au
_chemical_formula_sum 'K1 Os2 Au1'
_symmetry_space_group_name_H-M 'P 1'
_symmetry_Int_Tables_number 1
_symmetry_space_group_name_Hall 'P 1'
_cell_length_a 10.5062
_cell_length_b 10.5062
_cell_length_c 10.5062
_cell_angle_alpha 15.50
_cell_angle_beta 15.50
_cell_angle_gamma 15.50
loop_
_atom_site_label
_atom_site_type_symbol
_atom_site_fract_x
_atom_site_fract_y
_atom_site_fract_z
Au1 Au 0.5089 0.5089 0.5089
K1 K 0.7495 0.7495 0.7495
Os1 Os 0.9868 0.9868 0.9868
Os2 Os 0.2549 0.2549 0.2549
```

Results
**E above lowest polymorph**: 156 meV/atom
**Calculated density**: 14.181 g/cm³
**Size of the total moment**: 0.00 μB per cell
**Space-group type**: R3m